## Al2CoHAu (PBE-GGA)

Data for a relaxed Al2CoHAu crystal.

Computed properties:
Density (g/cm3): 8.81
DFT total energy (eV per atom): -4.450
Space group: P4/mmm, No. 123

a b c (Å): 4.219 4.219 3.292
angles (deg): 90.00 90.00 90.00
Fractional positions:
1 Al 0.000 0.500 0.000
2 Al 0.500 0.000 0.000
3 Co 0.000 0.000 0.500
4 H 0.000 0.000 0.000
5 Au 0.500 0.500 0.500

***

## Nd2YAg (PBE-GGA)

Data for a relaxed Nd2YAg crystal.

Computed properties:
Density (g/cm3): 6.60
DFT total energy (eV per atom): -4.811
ΔH_f (0 K) (eV/atom): -0.098
ΔE to the lowest computed polymorph (meV/atom): 25
Space group: P4/mmm, No. 123

a b c (Å): 3.704 3.704 8.897
angles (deg): 90.00 90.00 90.00
Fractional positions:
1 Nd 0.000 0.000 0.217
2 Nd 0.000 0.000 0.783
3 Y 0.500 0.500 0.500
4 Ag 0.500 0.500 0.000

***

## Pr4H2Br5 (PBE-GGA)

Data for a relaxed Pr4H2Br5 crystal.

Computed properties:
Density (g/cm3): 5.11
DFT total energy (eV per atom): -4.410
Space group: C2/m, No. 12

a b c (Å): 9.067 9.067 8.962
angles (deg): 103.86 103.86 26.07
Fractional positions:
1 Pr 0.001 0.001 0.265
2 Pr 0.367 0.367 0.433
3 Pr 0.633 0.633 0.567
4 Pr 0.999 0.999 0.735
5 H 0.499 0.499 0.621
6 H 0.501 0.501 0.379
7 Br 0.172 0.172 0.825
8 Br 0.177 0.177 0.345
9 Br 0.500 0.500 0.000
10 Br 0.823 0.823 0.655
11 Br 0.828 0.828 0.175

***

## SrSbS2 (PBE-GGA)

Data for a relaxed SrSbS2 crystal.

Computed properties:
Density (g/cm3): 3.48
DFT total energy (eV per atom): -4.268
Space group: R-3m, No. 166

a b c (Å): 4.252 4.252 25.035
angles (deg): 90.00 90.00 120.00
Fractional positions:
1 Sr 0.000 0.000 0.000
2 Sr 0.333 0.667 0.667
3 Sr 0.667 0.333 0.333
4 Sb 0.000 0.000 0.500
5 Sb 0.333 0.667 0.167
6 Sb 0.667 0.333 0.833
7 S 0.000 0.000 0.399
8 S 0.000 0.000 0.601
9 S 0.333 0.667 0.066
10 S 0.333 0.667 0.268
11 S 0.667 0.333 0.732
12 S 0.667 0.333 0.934

***

## Mg2Sc2Hg (PBE-GGA)

Data for a relaxed Mg2Sc2Hg crystal.

Computed properties:
Density (g/cm3): 4.51
DFT total energy (eV per atom): -3.134
ΔH_f (0 K) (eV/atom): 0.097
ΔE to the lowest computed polymorph (meV/atom): 206
Space group: P4/mbm, No. 127

a b c (Å): 7.700 7.700 4.215
angles (deg): 90.00 90.00 90.00
Fractional positions:
1 Mg 0.150 0.350 0.000
2 Mg 0.350 0.850 0.000
3 Mg 0.650 0.150 0.000
4 Mg 0.850 0.650 0.000
5 Sc 0.147 0.647 0.500
6 Sc 0.353 0.147 0.500
7 Sc 0.647 0.853 0.500
8 Sc 0.853 0.353 0.500
9 Hg 0.000 0.000 0.500
10 Hg 0.500 0.500 0.500

***

## NiBS4 (PBE-GGA)

Data for a relaxed NiBS4 crystal.

Computed properties:
Density (g/cm3): 3.68
DFT total energy (eV per atom): -4.721
Space group: C2/m, No. 12

a b c (Å): 10.838 3.353 5.486
angles (deg): 90.00 116.32 90.00
Fractional positions:
1 Ni 0.000 0.000 0.000
2 Ni 0.500 0.500 0.000
3 B 0.000 0.500 0.500
4 B 0.500 0.000 0.500
5 S 0.110 0.500 0.903
6 S 0.126 0.000 0.452
7 S 0.374 0.500 0.548
8 S 0.390 0.000 0.097
9 S 0.610 0.000 0.903
10 S 0.626 0.500 0.452
11 S 0.874 0.000 0.548
12 S 0.890 0.500 0.097

***

Density of states at the Fermi level
In order: 1.85, 6.72, 5.34, 1.61, 5.91, 2.22
Unit: states/eV/f.u.